# SrCd9Hg2

A relaxed SrCd9Hg2 crystal (GGA-PBE, Alexandria via LeMat-Bulk).

Cell and atoms, written as extended XYZ:
```
12
Lattice="-0.309 -3.626 0.511 6.538 -1.537 -6.942 2.848 1.050 9.169" Properties=species:S:1:pos:R:3 pbc="T T T"
Cd 6.351 -1.934 3.336
Hg 5.308 -0.674 -1.572
Cd 3.361 -1.231 6.511
Sr 0.000 0.000 0.000
Cd 2.058 -1.711 2.317
Cd 7.019 -2.401 0.422
Cd 1.424 0.525 4.585
Cd 2.725 -2.179 -0.597
Cd 3.269 -0.768 -3.471
Cd 4.693 -0.243 1.114
Cd 5.716 -2.882 -3.773
Hg 4.078 0.188 3.799
```

space-group type: No. 191
raw total energy: -11.4 eV per formula unit
mass density: 8.4 g cm⁻³
formation energy: -0.8 eV/f.u.
total magnetization: 0.00 μB/cell
E above lowest polymorph: 0.055 eV/atom



# Sr2CdHg2

A relaxed Sr2CdHg2 crystal (GGA-PBE, Alexandria via LeMat-Bulk).

Cell and atoms, written as extended XYZ:
```
5
Lattice="-1.940 -0.031 6.045 -5.614 -2.347 -1.814 -2.225 -5.271 2.593" Properties=species:S:1:pos:R:3 pbc="T T T"
Hg -6.497 -5.159 4.557
Cd 0.000 0.000 0.000
Hg -3.283 -2.489 2.268
Sr -5.808 -4.403 1.448
Sr -3.971 -3.245 5.377
```

space-group type: No. 139
raw total energy: -6.3 eV per formula unit
mass density: 6.5 g cm⁻³
formation energy: -1.4 eV/f.u.
total magnetization: 0.00 μB/cell
E above lowest polymorph: 0.163 eV/atom



# SrCd12Hg4

A relaxed SrCd12Hg4 crystal (GGA-PBE, Alexandria via LeMat-Bulk).

Cell and atoms, written as extended XYZ:
```
17
Lattice="-5.573 4.079 -5.174 -1.931 -8.406 0.250 -0.511 3.306 7.954" Properties=species:S:1:pos:R:3 pbc="T T T"
Hg -0.965 -4.203 0.125
Cd -1.761 -0.718 3.315
Cd -5.206 -3.546 -1.972
Cd -2.474 -2.206 5.708
Cd -3.260 1.978 0.259
Hg -4.007 -0.511 1.515
Cd -2.809 2.525 5.001
Hg -2.786 2.039 -2.587
Sr 0.000 0.000 0.000
Cd -3.017 -2.284 -0.535
Cd -5.035 4.132 1.070
Cd -2.980 -5.153 1.960
Cd -4.755 -2.999 2.771
Cd -6.254 -0.303 -0.285
Cd -4.998 1.263 3.565
Cd -5.541 1.184 -2.678
Hg -0.256 1.653 3.977
```

space-group type: No. 204
raw total energy: -13.0 eV per formula unit
mass density: 7.5 g cm⁻³
formation energy: 0.9 eV/f.u.
total magnetization: 0.00 μB/cell



# Sr4CdHg3

A relaxed Sr4CdHg3 crystal (GGA-PBE, Alexandria via LeMat-Bulk).

Cell and atoms, written as extended XYZ:
```
8
Lattice="4.421 0.000 0.000 0.000 5.027 0.000 0.000 0.000 12.498" Properties=species:S:1:pos:R:3 pbc="T T T"
Cd 2.210 2.514 0.930
Sr 0.000 2.514 10.681
Hg 2.210 0.000 11.536
Sr 0.000 0.000 1.808
Hg 0.000 2.514 7.257
Sr 2.210 0.000 8.013
Sr 2.210 2.514 4.516
Hg 0.000 0.000 5.253
```

space-group type: No. 25
raw total energy: -12.2 eV per formula unit
mass density: 6.4 g cm⁻³
formation energy: -3.6 eV/f.u.
total magnetization: 0.00 μB/cell
E above lowest polymorph: 0.029 eV/atom



# Sr4Cd3Hg

A relaxed Sr4Cd3Hg crystal (GGA-PBE, Alexandria via LeMat-Bulk).

Cell and atoms, written as extended XYZ:
```
8
Lattice="3.995 0.000 0.000 0.000 3.995 0.000 0.000 0.000 16.544" Properties=species:S:1:pos:R:3 pbc="T T T"
Cd 1.998 1.998 8.272
Sr 0.000 0.000 10.358
Sr 0.000 0.000 6.186
Cd 1.998 1.998 12.424
Cd 1.998 1.998 4.120
Hg 1.998 1.998 0.000
Sr 0.000 0.000 14.538
Sr 0.000 0.000 2.005
```

space-group type: No. 123
raw total energy: -12.8 eV per formula unit
mass density: 5.6 g cm⁻³
formation energy: -3.0 eV/f.u.
total magnetization: 0.00 μB/cell
E above lowest polymorph: 0.000 eV/atom



# SrCd3Hg4

A relaxed SrCd3Hg4 crystal (GGA-PBE, Alexandria via LeMat-Bulk).

Cell and atoms, written as extended XYZ:
```
16
Lattice="-0.636 5.196 -0.529 -5.157 -1.179 -5.384 -7.551 -0.184 7.273" Properties=species:S:1:pos:R:3 pbc="T T T"
Cd -3.775 -0.092 3.636
Sr -2.579 -0.589 -2.692
Sr -6.354 -0.681 0.944
Hg -5.276 2.236 2.137
Hg -9.667 -0.818 1.280
Hg -6.472 4.013 -2.839
Hg -1.500 2.328 -1.499
Hg -8.068 1.598 -0.778
Cd -6.012 2.715 5.164
Cd -8.572 1.971 2.488
Cd 0.000 0.000 0.000
Cd -2.174 2.297 1.580
Hg -6.872 -0.179 4.198
Cd -4.772 1.863 -1.128
Hg -3.676 4.652 0.080
Hg -4.292 1.690 -4.414
```

space-group type: No. 51
raw total energy: -7.2 eV per formula unit
mass density: 9.8 g cm⁻³
formation energy: -1.5 eV/f.u.
total magnetization: 0.00 μB/cell